No. 1
This record from Alexandria via LeMat-Bulk describes YTcI2N after structural relaxation. The functional is PBE.

* formation energy (no corrections): 0.624 eV per atom
* total magnetic moment: 4.554 μB per formula unit
* SG: P4/mmm

Lattice parameters (Å, degrees): 6.1504 6.1504 4.0785 90.00 90.00 90.00
Fractional positions:
I: 0.0000 0.5000 0.0000
I: 0.5000 0.0000 0.0000
Y: 0.0000 0.0000 0.0000
Tc: 0.5000 0.5000 0.5000
N: 0.0000 0.0000 0.5000

No. 2
This record from Alexandria via LeMat-Bulk describes Li3Cd7Sn after structural relaxation. The functional is PBE.

* energy of formation from the pure elements: -50 meV/atom
* total magnetic moment: 0.000 μB per formula unit
* SG: C2/m

Lattice parameters (Å, degrees): 5.2847 7.3763 7.3763 87.34 111.03 111.03
Fractional positions:
Li: 0.0000 0.7756 0.2244
Li: 0.5000 0.0000 0.0000
Li: 0.0000 0.2244 0.7756
Cd: 0.1656 0.1704 0.1704
Cd: 0.3262 0.0511 0.5992
Cd: 0.6738 0.4008 0.9489
Cd: 0.3262 0.5992 0.0511
Cd: 0.0000 0.5000 0.5000
Cd: 0.6738 0.9489 0.4008
Cd: 0.8344 0.8296 0.8296
Sn: 0.5000 0.5000 0.5000

No. 3
This record from Alexandria via LeMat-Bulk describes RbSnAs3 after structural relaxation. The functional is PBE.

* energy of formation from the pure elements: 1510 meV/atom
* total magnetic moment: 0.000 μB per formula unit
* SG: Pm-3m

Lattice parameters (Å, degrees): 5.5351 5.5351 5.5351 90.00 90.00 90.00
Fractional positions:
As: 0.0000 0.5000 0.0000
As: 0.0000 0.0000 0.5000
As: 0.5000 0.0000 0.0000
Sn: 0.5000 0.5000 0.5000
Rb: 0.0000 0.0000 0.0000

No. 4
This record from Alexandria via LeMat-Bulk describes TcNi4Rh after structural relaxation. The functional is PBE.

* energy of formation from the pure elements: 66 meV/atom
* total magnetic moment: 1.498 μB per formula unit
* SG: F-43m

Lattice parameters (Å, degrees): 4.6647 4.6647 4.6647 60.00 60.00 60.00
Fractional positions:
Tc: 0.0000 0.0000 0.0000
Ni: 0.8755 0.3748 0.3748
Ni: 0.3748 0.3748 0.8755
Ni: 0.3748 0.8755 0.3748
Ni: 0.3748 0.3748 0.3748
Rh: 0.7500 0.7500 0.7500

No. 5
This record from Alexandria via LeMat-Bulk describes TbHg2Rh after structural relaxation. The functional is PBE.

* energy of formation from the pure elements: -467 meV/atom
* total magnetic moment: 0.000 μB per formula unit
* SG: C2/m

Lattice parameters (Å, degrees): 4.5425 4.5425 9.1104 104.69 104.69 89.96
Fractional positions:
Tb: 0.3546 0.3546 0.2065
Tb: 0.6454 0.6454 0.7935
Hg: 0.8558 0.8558 0.2088
Hg: 0.1442 0.1442 0.7912
Hg: 0.5000 0.0000 0.5000
Hg: 0.0000 0.5000 0.5000
Rh: 0.2502 0.7498 0.0000
Rh: 0.7498 0.2502 0.0000

No. 6
This record from Alexandria via LeMat-Bulk describes HoAlCoCu after structural relaxation. The functional is PBE.

* energy of formation from the pure elements: -256 meV/atom
* total magnetic moment: 0.261 μB per formula unit
* SG: F-43m

Lattice parameters (Å, degrees): 4.4787 4.4787 4.4787 60.00 60.00 60.00
Fractional positions:
Co: 0.7500 0.7500 0.7500
Ho: 0.0000 0.0000 0.0000
Cu: 0.2500 0.2500 0.2500
Al: 0.5000 0.5000 0.5000